{"formula": "AcPmNi2", "functional": "GGA-PBE", "state": "optimized geometry", "cell": [[3.5893, 0.0000, 0.0000], [0.0000, 3.5893, 0.0000], [0.0000, 0.0000, 7.0917]], "species": ["Ni", "Ni", "Pm", "Ac"], "frac_coords": [[0.0000, 0.0000, 0.7777], [0.0000, 0.0000, 0.2223], [0.5000, 0.5000, 0.0000], [0.5000, 0.5000, 0.5000]], "e_above_lowest_polymorph_kj_per_mol_atoms": 10.50, "formation_energy_mev_per_atom": -177.4}